NaGa2SiTc | PBE-GGA | relaxed

It has space group P4/mmm (No. 123), with a = 4.8809 Å, b = 4.8809 Å, c = 4.6440 Å, α = 90.00°, β = 90.00° and γ = 90.00°. Symmetry generates all atoms from Na at (0.0000, 0.0000, 0.0000), Ga at (0.0000, 0.5000, 0.5000), Si at (0.5000, 0.5000, 0.0000) and Tc at (0.5000, 0.5000, 0.5000).

For the uncorrected formation energy, the calculation gives -0.0877 eV/atom. The calculated total energy comes out at -4.72 eV per atom. As for the total magnetization: 0.00 Bohr magnetons per cell.